This record from the Alexandria database describes a relaxed SmHo2GaC crystal. The functional is PBE-GGA.

VASP energy in eV per cell: -28.191
Energy of formation in eV per formula unit: -2.066
N(E_F) in states/eV/cell: 1.91
Total moment in μB per formula unit: 0.000

Cell: 4.8381 4.8381 4.9962 Å, 90.00 90.00 90.00°
With the nearest neighbours (Å) after each atom.
Space group P4/mmm (No. 123)
Asymmetric unit:
Sm: 0.0000 0.0000 0.0000 x1  2 C 2.50
Ho: 0.0000 0.5000 0.5000 x2  2 C 2.42
Ga: 0.5000 0.5000 0.0000 x1  4 Sm 3.42, 8 Ho 3.48
C: 0.0000 0.0000 0.5000 x1  4 Ho 2.42, 2 Sm 2.50